NaNb4Pt2: relaxed, PBE.

Results
The energy relative to the elements is 119 kJ per mole of atoms. The value obtained for the total moment is 0.000 μB/atom. The value obtained for the density of states at the Fermi level is 8.39 states/eV/cell.

a b c (Å): 7.4266 7.4266 7.4266
angles (deg): 144.08 144.08 51.71
Last column: nearest neighbours and their distance in Å.
Element x y z (fractional)
Na1 0.0000 0.0000 0.0000  4 Nb 2.29
Nb1 0.0000 0.5000 0.5000  2 Na 2.29
Nb2 0.1959 0.1959 0.0000  1 Pt 2.51, 1 Na 2.62
Nb3 0.5000 0.0000 0.5000  2 Na 2.29
Nb4 0.8041 0.8041 0.0000  1 Pt 2.51, 1 Na 2.62
Pt1 0.3833 0.3833 0.0000  5 Nb 2.51-2.77
Pt2 0.6167 0.6167 0.0000  5 Nb 2.51-2.77

***

NaNbPt2: relaxed, PBE.

Results
The energy relative to the elements is -41 kJ per mole of atoms. The value obtained for the total moment is 0.000 μB/atom. The value obtained for the density of states at the Fermi level is 2.21 states/eV/cell.

a b c (Å): 2.9457 2.9457 8.1642
angles (deg): 90.00 90.00 90.00
Last column: nearest neighbours and their distance in Å.
Element x y z (fractional)
Na1 0.0000 0.0000 0.0000  4 Na 2.95, 8 Pt 3.07
Nb1 0.0000 0.0000 0.5000  8 Pt 2.77, 4 Nb 2.95
Pt1 0.5000 0.5000 0.2758  4 Nb 2.77, 4 Pt 2.95, 4 Na 3.07
Pt2 0.5000 0.5000 0.7242  4 Nb 2.77, 4 Pt 2.95, 4 Na 3.07

***

Na3NbPt: relaxed, PBE.

Results
The energy relative to the elements is 127 kJ per mole of atoms. The value obtained for the total moment is 0.000 μB/atom. The value obtained for the density of states at the Fermi level is 14.89 states/eV/cell.

a b c (Å): 5.2269 5.2269 5.2269
angles (deg): 90.00 90.00 90.00
Last column: nearest neighbours and their distance in Å.
Element x y z (fractional)
Na1 0.0000 0.0000 0.5000  2 Pt 2.61
Na2 0.0000 0.5000 0.0000  2 Pt 2.61
Na3 0.5000 0.0000 0.0000  2 Pt 2.61
Nb1 0.5000 0.5000 0.5000  12 Na 3.70
Pt1 0.0000 0.0000 0.0000  6 Na 2.61

***

NaNb4Pt5: relaxed, PBE.

Results
The energy relative to the elements is -54 kJ per mole of atoms. The value obtained for the total moment is 0.000 μB/atom. The value obtained for the density of states at the Fermi level is 5.20 states/eV/cell.

a b c (Å): 2.8539 2.8539 20.7983
angles (deg): 90.00 90.00 90.00
Last column: nearest neighbours and their distance in Å.
Element x y z (fractional)
Na1 0.0000 0.0000 0.0000  4 Na 2.85, 8 Pt 3.09
Nb1 0.0000 0.0000 0.2043  8 Pt 2.78-2.87, 4 Nb 2.85
Nb2 0.0000 0.0000 0.4016  4 Nb 2.85, 8 Pt 2.87-2.88
Nb3 0.0000 0.0000 0.5984  4 Nb 2.85, 8 Pt 2.87-2.88
Nb4 0.0000 0.0000 0.7957  8 Pt 2.78-2.87, 4 Nb 2.85
Pt1 0.5000 0.5000 0.1127  4 Nb 2.78, 4 Pt 2.85, 4 Na 3.09
Pt2 0.5000 0.5000 0.3026  4 Pt 2.85, 8 Nb 2.87-2.88
Pt3 0.5000 0.5000 0.5000  4 Pt 2.85, 8 Nb 2.87
Pt4 0.5000 0.5000 0.6974  4 Pt 2.85, 8 Nb 2.87-2.88
Pt5 0.5000 0.5000 0.8873  4 Nb 2.78, 4 Pt 2.85, 4 Na 3.09

***

NaNb2Pt2: relaxed, PBE.

Results
The energy relative to the elements is -33 kJ per mole of atoms. The value obtained for the total moment is 0.000 μB/atom. The value obtained for the density of states at the Fermi level is 5.78 states/eV/cell.

a b c (Å): 8.1806 8.1806 2.7822
angles (deg): 90.00 90.00 90.00
Last column: nearest neighbours and their distance in Å.
Element x y z (fractional)
Na1 0.0000 0.0000 0.0000  2 Na 2.78
Na2 0.5000 0.5000 0.0000  2 Na 2.78
Nb1 0.1195 0.3805 0.0000  3 Nb 2.76-2.78, 6 Pt 2.77-2.80
Nb2 0.3805 0.8805 0.0000  3 Nb 2.76-2.78, 6 Pt 2.77-2.80
Nb3 0.6195 0.1195 0.0000  3 Nb 2.76-2.78, 6 Pt 2.77-2.80
Nb4 0.8805 0.6195 0.0000  3 Nb 2.76-2.78, 6 Pt 2.77-2.80
Pt1 0.1732 0.6732 0.5000  6 Nb 2.77-2.80, 2 Pt 2.78
Pt2 0.3268 0.1732 0.5000  6 Nb 2.77-2.80, 2 Pt 2.78
Pt3 0.6732 0.8268 0.5000  6 Nb 2.77-2.80, 2 Pt 2.78
Pt4 0.8268 0.3268 0.5000  6 Nb 2.77-2.80, 2 Pt 2.78

***

NaNbPt2: relaxed, PBE.

Results
The energy relative to the elements is 13 kJ per mole of atoms. The value obtained for the total moment is 0.062 μB/atom. The value obtained for the density of states at the Fermi level is 5.72 states/eV/cell.

a b c (Å): 5.9441 5.9441 5.9441
angles (deg): 103.42 103.42 122.40
Last column: nearest neighbours and their distance in Å.
Element x y z (fractional)
Na1 0.0000 0.0000 0.0000  2 Nb 2.86, 4 Pt 2.87
Na2 0.7500 0.2500 0.5000  2 Nb 2.86, 4 Pt 2.87
Nb1 0.2500 0.7500 0.5000  4 Pt 2.54
Nb2 0.5000 0.5000 0.0000  4 Pt 2.54
Pt1 0.1579 0.6250 0.0329  2 Nb 2.54
Pt2 0.3750 0.4079 0.5329  2 Nb 2.54
Pt3 0.5921 0.1250 0.9671  2 Nb 2.54
Pt4 0.8750 0.8421 0.4671  2 Nb 2.54

***

Na2SrNbPt: relaxed, PBE.

Results
The energy relative to the elements is 75 kJ per mole of atoms. The value obtained for the total moment is 0.973 μB/atom. The value obtained for the density of states at the Fermi level is 3.93 states/eV/cell.

a b c (Å): 5.4344 5.4344 5.7316
angles (deg): 90.00 90.00 90.00
Last column: nearest neighbours and their distance in Å.
Element x y z (fractional)
Na1 0.0000 0.5000 0.0000  2 Pt 2.72
Na2 0.5000 0.0000 0.0000  2 Pt 2.72
Sr1 0.0000 0.0000 0.5000  2 Pt 2.87
Nb1 0.5000 0.5000 0.5000  4 Sr 3.84, 8 Na 3.95
Pt1 0.0000 0.0000 0.0000  4 Na 2.72, 2 Sr 2.87

***

Na2SrNbPt: relaxed, PBE.

Results
The energy relative to the elements is 168 kJ per mole of atoms. The value obtained for the total moment is 0.000 μB/atom. The value obtained for the density of states at the Fermi level is 5.16 states/eV/cell.

a b c (Å): 5.0186 5.0186 5.0796
angles (deg): 90.00 90.00 90.00
Last column: nearest neighbours and their distance in Å.
Element x y z (fractional)
Na1 0.0000 0.5000 0.0000  2 Sr 2.51
Na2 0.5000 0.0000 0.0000  2 Sr 2.51
Sr1 0.0000 0.0000 0.0000  4 Na 2.51, 2 Nb 2.54
Nb1 0.0000 0.0000 0.5000  2 Sr 2.54
Pt1 0.5000 0.5000 0.5000  4 Nb 3.55, 8 Na 3.57

***

NaNbVPt2: relaxed, PBE.

Results
The energy relative to the elements is 51 kJ per mole of atoms. The value obtained for the total moment is 0.000 μB/atom. The value obtained for the density of states at the Fermi level is 4.85 states/eV/cell.

a b c (Å): 4.7961 4.7961 4.5010
angles (deg): 90.00 90.00 90.00
Last column: nearest neighbours and their distance in Å.
Element x y z (fractional)
Na1 0.0000 0.0000 0.0000  8 Pt 3.29, 4 Nb 3.39
Nb1 0.5000 0.5000 0.0000  2 V 2.25
V1 0.5000 0.5000 0.5000  2 Nb 2.25, 4 Pt 2.40
Pt1 0.0000 0.5000 0.5000  2 V 2.40
Pt2 0.5000 0.0000 0.5000  2 V 2.40

***

NaZrNbPt2: relaxed, PBE.

Results
The energy relative to the elements is 51 kJ per mole of atoms. The value obtained for the total moment is 0.000 μB/atom. The value obtained for the density of states at the Fermi level is 4.04 states/eV/cell.

a b c (Å): 4.9859 4.9859 5.0148
angles (deg): 90.00 90.00 90.00
Last column: nearest neighbours and their distance in Å.
Element x y z (fractional)
Na1 0.0000 0.0000 0.0000  4 Zr 3.53, 8 Pt 3.54
Zr1 0.5000 0.5000 0.0000  2 Nb 2.51
Nb1 0.5000 0.5000 0.5000  4 Pt 2.49, 2 Zr 2.51
Pt1 0.0000 0.5000 0.5000  2 Nb 2.49
Pt2 0.5000 0.0000 0.5000  2 Nb 2.49

***

Na3Pu3NbS8: relaxed, PBE.

Results
The value obtained for the total moment is 1.067 μB/atom. The value obtained for the density of states at the Fermi level is 25.48 states/eV/cell. The calculation puts the formation energy without anion corrections at -21.3 eV per formula unit.

a b c (Å): 8.1160 8.1160 8.1160
angles (deg): 57.68 57.68 57.68
Last column: nearest neighbours and their distance in Å.
Element x y z (fractional)
Na1 0.0000 0.5000 0.5000  6 S 2.90-2.92
Na2 0.5000 0.0000 0.5000  6 S 2.90-2.92
Na3 0.5000 0.5000 0.0000  6 S 2.90-2.92
Pu1 0.0000 0.0000 0.5000  6 S 2.74-2.75
Pu2 0.0000 0.5000 0.0000  6 S 2.74-2.75
Pu3 0.5000 0.0000 0.0000  6 S 2.74-2.75
Nb1 0.5000 0.5000 0.5000  6 S 2.56
S1 0.2433 0.2433 0.2433  3 Pu 2.74, 3 Na 2.90
S2 0.2602 0.7270 0.7270  1 Nb 2.56, 2 Pu 2.75
S3 0.2730 0.2730 0.7398  1 Nb 2.56, 2 Pu 2.75
S4 0.2730 0.7398 0.2730  1 Nb 2.56, 2 Pu 2.75
S5 0.7270 0.2602 0.7270  1 Nb 2.56, 2 Pu 2.75
S6 0.7270 0.7270 0.2602  1 Nb 2.56, 2 Pu 2.75
S7 0.7398 0.2730 0.2730  1 Nb 2.56, 2 Pu 2.75
S8 0.7567 0.7567 0.7567  3 Pu 2.74, 3 Na 2.90

***

Na3Pu3NbSe8: relaxed, PBE.

Results
The value obtained for the total moment is 1.067 μB/atom. The value obtained for the density of states at the Fermi level is 31.21 states/eV/cell. The calculation puts the formation energy without anion corrections at -18.9 eV per formula unit.

a b c (Å): 8.5044 8.5044 8.5044
angles (deg): 57.27 57.27 57.27
Last column: nearest neighbours and their distance in Å.
Element x y z (fractional)
Na1 0.0000 0.5000 0.5000  6 Se 3.01-3.03
Na2 0.5000 0.0000 0.5000  6 Se 3.01-3.03
Na3 0.5000 0.5000 0.0000  6 Se 3.01-3.03
Pu1 0.0000 0.0000 0.5000  6 Se 2.88
Pu2 0.0000 0.5000 0.0000  6 Se 2.88
Pu3 0.5000 0.0000 0.0000  6 Se 2.88
Nb1 0.5000 0.5000 0.5000  6 Se 2.69
Se1 0.2448 0.2448 0.2448  3 Pu 2.88, 3 Na 3.01
Se2 0.2606 0.7290 0.7290  1 Nb 2.69, 2 Pu 2.88
Se3 0.2710 0.2710 0.7394  1 Nb 2.69, 2 Pu 2.88
Se4 0.2710 0.7394 0.2710  1 Nb 2.69, 2 Pu 2.88
Se5 0.7290 0.2606 0.7290  1 Nb 2.69, 2 Pu 2.88
Se6 0.7290 0.7290 0.2606  1 Nb 2.69, 2 Pu 2.88
Se7 0.7394 0.2710 0.2710  1 Nb 2.69, 2 Pu 2.88
Se8 0.7552 0.7552 0.7552  3 Pu 2.88, 3 Na 3.01